# Lu2BeFe, relaxed, DFT PBE-GGA
data_Lu2BeFe
_space_group_name_H-M_alt 'P 4/m m m'
_space_group_IT_number 123
_space_group_name_Hall '-P 4 2'
_cell_length_a 3.298
_cell_length_b 3.298
_cell_length_c 6.574
_cell_angle_alpha 90.00
_cell_angle_beta 90.00
_cell_angle_gamma 90.00
loop_
_atom_site_label
_atom_site_type_symbol
_atom_site_fract_x
_atom_site_fract_y
_atom_site_fract_z
Lu1 Lu 0.000 0.000 0.238
Be1 Be 0.500 0.500 0.500
Fe1 Fe 0.500 0.500 0.000
# Formation enthalpy at 0 K (kcal/mol of atoms): 1.25
# Excess energy over the best structure of this formula in the dataset (kcal/mol of atoms): 0.11
# DOS at the Fermi energy (states/eV/f.u.): 4.6
# Magnetization (μB/atom): 0.00
# Mass density (g cm⁻³): 9.64



# PSeSO2, relaxed, DFT PBE-GGA
data_PSeSO2
_space_group_name_H-M_alt 'P 4/m m m'
_space_group_IT_number 123
_space_group_name_Hall '-P 4 2'
_cell_length_a 3.516
_cell_length_b 3.516
_cell_length_c 5.519
_cell_angle_alpha 90.00
_cell_angle_beta 90.00
_cell_angle_gamma 90.00
loop_
_atom_site_label
_atom_site_type_symbol
_atom_site_fract_x
_atom_site_fract_y
_atom_site_fract_z
P1 P 0.000 0.000 0.000
Se1 Se 0.500 0.500 0.000
S1 S 0.000 0.000 0.500
O1 O 0.000 0.500 0.500
# Formation energy (no corrections) (meV per atom): 214
# DOS at the Fermi energy (states/eV/f.u.): 2.8
# Magnetization (μB/atom): 0.00
# Mass density (g cm⁻³): 4.24



# DyVIr, relaxed, DFT PBE-GGA
data_DyVIr
_space_group_name_H-M_alt 'P 1 21/c 1'
_space_group_IT_number 14
_cell_length_a 5.798
_cell_length_b 5.600
_cell_length_c 7.822
_cell_angle_alpha 90.00
_cell_angle_beta 112.37
_cell_angle_gamma 90.00
loop_
_space_group_symop_operation_xyz
'x,y,z'
'-x,-y,-z'
'-x,y+1/2,-z+1/2'
'x,-y+1/2,z+1/2'
loop_
_atom_site_label
_atom_site_type_symbol
_atom_site_fract_x
_atom_site_fract_y
_atom_site_fract_z
Dy1 Dy 0.188 0.116 0.377
V1 V 0.415 0.609 0.301
Ir1 Ir 0.219 0.621 0.529
# Formation enthalpy at 0 K (kcal/mol of atoms): -10.69
# DOS at the Fermi energy (states/eV/f.u.): 3.1
# Magnetization (μB/atom): 0.00
# Mass density (g cm⁻³): 11.47



# Cu2AuCl, relaxed, DFT PBE-GGA
data_Cu2AuCl
_space_group_name_H-M_alt 'I m m 2'
_space_group_IT_number 44
_cell_length_a 3.107
_cell_length_b 3.819
_cell_length_c 12.493
_cell_angle_alpha 90.00
_cell_angle_beta 90.00
_cell_angle_gamma 90.00
loop_
_space_group_symop_operation_xyz
'x,y,z'
'-x,-y,z'
'-x,y,z'
'x,-y,z'
'x+1/2,y+1/2,z+1/2'
'-x+1/2,-y+1/2,z+1/2'
'-x+1/2,y+1/2,z+1/2'
'x+1/2,-y+1/2,z+1/2'
loop_
_atom_site_label
_atom_site_type_symbol
_atom_site_fract_x
_atom_site_fract_y
_atom_site_fract_z
Cu1 Cu 0.000 0.000 0.000
Cu2 Cu 0.000 0.500 0.128
Au1 Au 0.000 0.500 0.685
Cl1 Cl 0.000 0.000 0.422
# Formation energy (no corrections) (meV per atom): 91
# Excess energy over the best structure of this formula in the dataset (kcal/mol of atoms): 4.41
# DOS at the Fermi energy (states/eV/f.u.): 0.6
# Magnetization (μB/atom): 0.00
# Mass density (g cm⁻³): 8.05



Copy entry 3 word for word.
# DyVIr, relaxed, DFT PBE-GGA
data_DyVIr
_space_group_name_H-M_alt 'P 1 21/c 1'
_space_group_IT_number 14
_cell_length_a 5.798
_cell_length_b 5.600
_cell_length_c 7.822
_cell_angle_alpha 90.00
_cell_angle_beta 112.37
_cell_angle_gamma 90.00
loop_
_space_group_symop_operation_xyz
'x,y,z'
'-x,-y,-z'
'-x,y+1/2,-z+1/2'
'x,-y+1/2,z+1/2'
loop_
_atom_site_label
_atom_site_type_symbol
_atom_site_fract_x
_atom_site_fract_y
_atom_site_fract_z
Dy1 Dy 0.188 0.116 0.377
V1 V 0.415 0.609 0.301
Ir1 Ir 0.219 0.621 0.529
# Formation enthalpy at 0 K (kcal/mol of atoms): -10.69
# DOS at the Fermi energy (states/eV/f.u.): 3.1
# Magnetization (μB/atom): 0.00
# Mass density (g cm⁻³): 11.47



What is the formula in the third record? DyVIr



What is the DOS at the Fermi energy in the second record? 2.8 states/eV/f.u.